Record 1
Entry from Alexandria: a relaxed Nb2TeIrPb crystal (PBE).

Cell lengths 4.9547, 4.9547, 5.3958 Å; angles 90.00, 90.00, 90.00 degrees
Last column: nearest neighbours and their distance in Å.
Space group P4/mmm (No. 123)
Unique sites:
Nb  0.0000  0.5000  0.0000  2 Ir 2.48
Te  0.0000  0.0000  0.5000  2 Ir 2.70
Ir  0.0000  0.0000  0.0000  4 Nb 2.48, 2 Te 2.70
Pb  0.5000  0.5000  0.5000  4 Te 3.50, 8 Nb 3.66

Results
The formation energy from raw total energies is 4.366 eV/f.u. As for the crystal system: tetragonal. The value obtained for the total magnetic moment is 2.184 Bohr magnetons per cell. The calculation puts the density of states at the Fermi level at 6.97 states/eV per cell.

Record 2
Entry from Alexandria: a relaxed K2BeAg crystal (PBE).

Cell lengths 4.3610, 6.0337, 10.1504 Å; angles 90.00, 90.00, 90.00 degrees
Last column: nearest neighbours and their distance in Å.
Space group Imm2 (No. 44)
Unique sites:
K  0.0000  0.0000  0.0000  4 K 3.53-3.90, 4 Ag 3.59-3.81, 5 Be 3.78-3.94
K  0.0000  0.5000  0.1809  4 K 3.53-3.90, 4 Be 3.59-3.82, 5 Ag 3.78-3.94
Be  0.0000  0.0000  0.3723  2 Ag 2.28
Ag  0.0000  0.5000  0.8082  2 Be 2.28

Results
As for the crystal system: orthorhombic. Its formation energy from the elements is 380 meV per atom. The value obtained for the total magnetic moment is 0.000 Bohr magnetons per cell. The calculation puts the density of states at the Fermi level at 4.09 states/eV per cell.

Record 3
Entry from Alexandria: a relaxed LaY7 crystal (PBE).

Cell lengths 10.1522, 10.1522, 10.1522 Å; angles 90.00, 90.00, 90.00 degrees
Last column: nearest neighbours and their distance in Å.
Space group Fm-3m (No. 225)
Unique sites:
La  0.0000  0.0000  0.0000  12 Y 3.59
Y  0.0000  0.0000  0.5000  12 Y 3.59
Y  0.0000  0.2500  0.2500  10 Y 3.59, 2 La 3.59

Results
As for the crystal system: cubic. Its formation energy from the elements is 22 meV per atom. The value obtained for the total magnetic moment is 0.003 Bohr magnetons per cell. The calculation puts the density of states at the Fermi level at 49.54 states/eV per cell.

Record 4
Entry from Alexandria: a relaxed Ho5Hf3As8 crystal (PBE).

Cell lengths 7.9583, 7.9583, 19.6080 Å; angles 90.00, 90.00, 120.00 degrees
Last column: nearest neighbours and their distance in Å.
Space group R-3m (No. 166, hexagonal axes)
Unique sites:
Ho  0.0000  0.0000  0.0000  6 As 2.82
Ho  0.0000  0.0000  0.5000  6 As 2.82
Ho  0.0000  0.5000  0.0000  6 As 2.88
Hf  0.0000  0.5000  0.5000  6 As 2.76
As  0.0000  0.0000  0.2447  3 Hf 2.76, 3 Ho 2.88
As  0.0075  0.5038  0.7537  2 Hf 2.76, 4 Ho 2.82-2.88

Results
As for the crystal system: trigonal. Its formation energy from the elements is -1319 meV per atom. The value obtained for the total magnetic moment is 0.000 Bohr magnetons per cell. The calculation puts the density of states at the Fermi level at 20.78 states/eV per cell.

Record 5
Entry from Alexandria: a relaxed TcPIr crystal (PBE).

Cell lengths 2.9341, 4.4771, 6.5197 Å; angles 90.00, 90.00, 90.00 degrees
Last column: nearest neighbours and their distance in Å.
Space group Imm2 (No. 44)
Unique sites:
Tc  0.0000  0.0000  0.0000  4 P 2.39-2.63
P  0.0000  0.5000  0.2104  4 Tc 2.39-2.63, 4 Ir 2.44-2.59
Ir  0.0000  0.0000  0.4111  4 P 2.44-2.59, 1 Tc 2.68

Results
As for the crystal system: orthorhombic. Its formation energy from the elements is -89 meV per atom. The value obtained for the total magnetic moment is 0.000 Bohr magnetons per cell. The calculation puts the density of states at the Fermi level at 5.56 states/eV per cell.

Record 6
Entry from Alexandria: a relaxed Hf2PbAu crystal (PBE).

Cell lengths 7.7957, 7.7957, 6.1260 Å; angles 90.00, 90.00, 90.00 degrees
Last column: nearest neighbours and their distance in Å.
Space group I-42d (No. 122)
Unique sites:
Hf  0.2257  0.7500  0.1250  2 Au 2.73, 2 Pb 2.99
Pb  0.0000  0.0000  0.5000  4 Hf 2.99, 2 Au 3.06
Au  0.0000  0.0000  0.0000  4 Hf 2.73, 2 Pb 3.06

Results
As for the crystal system: tetragonal. Its formation energy from the elements is 48 meV per atom. The value obtained for the total magnetic moment is 0.000 Bohr magnetons per cell. The calculation puts the density of states at the Fermi level at 10.02 states/eV per cell.